Record 1
MgBO3 after structural relaxation, computed with GGA-PBEsol.

The energy relative to the elements, uncorrected comes out at 0.517 eV/atom. The value obtained for the mass density is 2.376 g/cm3. The volume is 58.1 Å³/cell.

Lattice parameters (Å, degrees): 3.873 3.873 3.873 90.00 90.00 90.00
Space group Pm-3m (No. 221)
One atom of each set of equivalent atoms:
Mg  0.000  0.000  0.000
B  0.500  0.500  0.500
O  0.000  0.000  0.500

Record 2
K2SrBH after structural relaxation, computed with GGA-PBEsol.

The calculation puts the raw total energy at -2.242 eV per atom. The value obtained for the mass density is 2.346 g/cm3. The volume is 125.8 Å³/cell.

Lattice parameters (Å, degrees): 4.825 4.825 5.402 90.00 90.00 90.00
Space group P4/mmm (No. 123)
One atom of each set of equivalent atoms:
K  0.000  0.500  0.000
Sr  0.000  0.000  0.500
B  0.500  0.500  0.500
H  0.000  0.000  0.000

Record 3
MgTl after structural relaxation, computed with GGA-PBEsol.

The value obtained for the mass density is 7.810 g/cm3. The volume is 194.5 Å³/cell. As for the energy relative to the elements: -0.05 eV per atom.

Lattice parameters (Å, degrees): 3.479 5.083 10.998 90.00 90.00 90.00
Space group Imma (No. 74)
One atom of each set of equivalent atoms:
Mg  0.000  0.250  0.126
Tl  0.000  0.250  0.620

Record 4
Si2SeBr after structural relaxation, computed with GGA-PBEsol.

The energy relative to the elements, uncorrected comes out at 0.341 eV/atom. The value obtained for the mass density is 4.171 g/cm3. The volume is 171.2 Å³/cell. The polymorph energy (0 for the lowest one) is 0 meV per atom.

Lattice parameters (Å, degrees): 3.616 6.010 7.878 90.00 90.00 90.00
Space group Cmmm (No. 65)
One atom of each set of equivalent atoms:
Si  0.000  0.000  0.228
Se  0.000  0.500  0.000
Br  0.000  0.500  0.500

Record 5
Si2GeHIr after structural relaxation, computed with GGA-PBEsol.

The calculation puts the raw total energy at -5.128 eV per atom. The value obtained for the mass density is 5.320 g/cm3. The volume is 100.5 Å³/cell.

Lattice parameters (Å, degrees): 4.565 4.565 4.823 90.00 90.00 90.00
Space group P4/mmm (No. 123)
One atom of each set of equivalent atoms:
Si  0.000  0.500  0.000
Ge  0.000  0.000  0.500
H  0.500  0.500  0.500
Ir  0.000  0.000  0.000

Record 6
CdIn3Co after structural relaxation, computed with GGA-PBEsol.

The value obtained for the mass density is 7.281 g/cm3. The volume is 117.6 Å³/cell. As for the energy relative to the elements: 0.09 eV per atom.

Lattice parameters (Å, degrees): 4.900 4.900 4.900 90.00 90.00 90.00
Space group Pm-3m (No. 221)
One atom of each set of equivalent atoms:
Cd  0.000  0.000  0.000
In  0.000  0.500  0.500
Co  0.500  0.500  0.500

Record 7
InOs2Ru after structural relaxation, computed with GGA-PBEsol.

The value obtained for the mass density is 16.446 g/cm3. The volume is 180.6 Å³/cell. As for the energy relative to the elements: 0.34 eV per atom.

Lattice parameters (Å, degrees): 2.7884 2.7884 26.8260 90.00 90.00 120.00
Space group R3m (No. 160, hexagonal axes)
One atom of each set of equivalent atoms:
In  0.0000  0.0000  0.0000
Os  0.0000  0.0000  0.2439
Os  0.0000  0.0000  0.4984
Ru  0.0000  0.0000  0.7532

Record 8
Zn2SbAu2 after structural relaxation, computed with GGA-PBEsol.

The energy relative to the elements, uncorrected comes out at -0.112 eV/atom. The value obtained for the mass density is 12.123 g/cm3. The volume is 177.1 Å³/cell. The polymorph energy (0 for the lowest one) is 0 meV per atom.

Lattice parameters (Å, degrees): 7.743 7.743 2.954 90.00 90.00 90.00
Space group P4/mbm (No. 127)
One atom of each set of equivalent atoms:
Zn  0.129  0.371  0.000
Sb  0.000  0.000  0.500
Au  0.167  0.667  0.500

Record 9
NaLuTi2O6 after structural relaxation, computed with GGA-PBEsol.

The energy relative to the elements, uncorrected comes out at -3.088 eV/atom. The value obtained for the mass density is 6.080 g/cm3. The volume is 212.9 Å³/cell.

Lattice parameters (Å, degrees): 7.487 5.459 5.208 90.00 90.00 90.00
Space group Pmn2_1 (No. 31)
One atom of each set of equivalent atoms:
Na  0.000  0.213  0.000
Lu  0.000  0.672  0.473
Ti  0.248  0.235  0.484
O  0.000  0.280  0.574
O  0.000  0.779  0.876
O  0.191  0.938  0.309
O  0.206  0.465  0.213

Record 10
KRb3Zn after structural relaxation, computed with GGA-PBEsol.

The value obtained for the mass density is 1.191 g/cm3. The volume is 503.0 Å³/cell. As for the energy relative to the elements: 0.49 eV per atom.

Lattice parameters (Å, degrees): 7.953 7.953 7.953 90.00 90.00 90.00
Space group Pm-3m (No. 221)
One atom of each set of equivalent atoms:
K  0.000  0.000  0.000
Rb  0.000  0.000  0.500
Zn  0.500  0.500  0.500

Record 11
Na3CaO after structural relaxation, computed with GGA-PBEsol.

The energy relative to the elements, uncorrected comes out at -0.375 eV/atom. The value obtained for the mass density is 1.697 g/cm3. The volume is 122.4 Å³/cell.

Lattice parameters (Å, degrees): 4.965 4.965 4.965 90.00 90.00 90.00
Space group Pm-3m (No. 221)
One atom of each set of equivalent atoms:
Na  0.000  0.000  0.500
Ca  0.500  0.500  0.500
O  0.000  0.000  0.000

Record 12
HgNOF2 after structural relaxation, computed with GGA-PBEsol.

The energy relative to the elements, uncorrected comes out at 0.452 eV/atom. The value obtained for the mass density is 8.415 g/cm3. The volume is 53.0 Å³/cell.

Lattice parameters (Å, degrees): 3.610 3.610 4.066 90.00 90.00 90.00
Space group P4/mmm (No. 123)
One atom of each set of equivalent atoms:
Hg  0.000  0.000  0.000
N  0.500  0.500  0.500
O  0.500  0.500  0.000
F  0.000  0.500  0.500